1.
Compound: PrEuSbPd
Source: the Alexandria database
Functional: PBE
Structure: relaxed

a b c (Å): 5.361 5.361 5.361
angles (deg): 60.00 60.00 60.00
Last column: magnetic moment on the atom in μB.
Atoms (fractional coordinates):
Eu: 0.750 0.750 0.750  6.83
Sb: 0.500 0.500 0.500  -0.03
Pr: 0.250 0.250 0.250  0.09
Pd: 0.000 0.000 0.000  -0.01

symmetry: F-43m
mass density: 7.9 g/cm3
E_form (uncorrected): -0.812 eV per atom

2.
Compound: AcMn2SiN
Source: the Alexandria database
Functional: PBE
Structure: relaxed

a b c (Å): 3.974 5.873 7.112
angles (deg): 90.00 90.00 109.78
Last column: magnetic moment on the atom in μB.
Atoms (fractional coordinates):
Mn: 0.835 0.670 0.438  1.75
Mn: 0.835 0.670 0.062  1.75
Ac: 0.549 0.099 0.250  -0.03
Mn: 0.165 0.330 0.938  1.75
Mn: 0.165 0.330 0.562  1.75
Si: 0.729 0.458 0.750  -0.09
Ac: 0.451 0.901 0.750  -0.03
N: 0.000 0.000 0.000  -0.10
Si: 0.271 0.542 0.250  -0.09
N: 0.000 0.000 0.500  -0.10

symmetry: Cmcm
mass density: 8.1 g/cm3
E_form (uncorrected): -0.565 eV per atom